A relaxed Zn8AgAu5 crystal. Source: Alexandria, functional GGA-PBE.

Calculated values
* magnetization: 0.000 Bohr magnetons per cell
* E: -2.203 eV per atom
* energy relative to the elements: -101 meV/atom

Structure (POSCAR):
```
Zn8AgAu5
1.0
6.778 -0.013 0.022
-2.305 6.373 -0.022
-2.167 -3.229 5.551
Zn Ag Au
8 1 5
Direct
0.133 0.730 0.063
0.937 0.070 0.667
0.764 0.267 0.357
0.643 0.407 0.910
0.503 0.593 0.236
0.597 0.930 0.867
0.333 0.270 0.403
0.090 0.733 0.497
0.250 0.500 0.750
0.026 0.348 0.121
0.879 0.905 0.227
0.773 0.652 0.678
0.500 0.000 0.500
0.322 0.095 0.974
```